[1]
This record from Alexandria via LeMat-Bulk describes a relaxed structure of Ce2GdMg. The functional is PBE.

Unit cell a=3.3144 b=3.3144 c=10.3725 alpha=90.00 beta=90.00 gamma=90.00
Element x y z (fractional)
Gd 0.5000 0.5000 0.5000
Ce 0.0000 0.0000 0.7592
Ce 0.0000 0.0000 0.2408
Mg 0.5000 0.5000 0.0000

Computed properties:
Space group: P4/mmm, No. 123
E_form, kJ per mole of atoms: 10
Calculated density, g/cm3: 6.7
Relative energy among the computed polymorphs, meV per atom: 0.0

***

[2]
This record from Alexandria via LeMat-Bulk describes a relaxed structure of CeGdMg2. The functional is PBE.

Unit cell a=3.2875 b=3.2875 c=11.7049 alpha=81.93 beta=81.93 gamma=60.00
Element x y z (fractional)
Mg 0.7493 0.7493 0.7521
Mg 0.2507 0.2507 0.2479
Gd 0.0000 0.0000 0.0000
Ce 0.5000 0.5000 0.5000

Computed properties:
Space group: R-3m, No. 166
E_form, kJ per mole of atoms: 6
Calculated density, g/cm3: 5.3
Relative energy among the computed polymorphs, meV per atom: 70.6

***

[3]
This record from Alexandria via LeMat-Bulk describes a relaxed structure of CeGdMgMn. The functional is PBE.

Unit cell a=5.1975 b=5.1975 c=5.1975 alpha=60.00 beta=60.00 gamma=60.00
Element x y z (fractional)
Mg 0.0000 0.0000 0.0000
Ce 0.2500 0.2500 0.2500
Gd 0.7500 0.7500 0.7500
Mn 0.5000 0.5000 0.5000

Computed properties:
Space group: F-43m, No. 216
E_form, kJ per mole of atoms: 13
Calculated density, g/cm3: 6.3

***

[4]
This record from Alexandria via LeMat-Bulk describes a relaxed structure of CeGdMgPa. The functional is PBE.

Unit cell a=5.3732 b=5.3732 c=5.3732 alpha=60.00 beta=60.00 gamma=60.00
Element x y z (fractional)
Ce 0.0000 0.0000 0.0000
Pa 0.2500 0.2500 0.2500
Mg 0.7500 0.7500 0.7500
Gd 0.5000 0.5000 0.5000

Computed properties:
Space group: F-43m, No. 216
E_form, kJ per mole of atoms: 30
Calculated density, g/cm3: 8.4

***

[5]
This record from Alexandria via LeMat-Bulk describes a relaxed structure of CeGdMgRu. The functional is PBE.

Unit cell a=5.0699 b=5.0699 c=5.0699 alpha=60.00 beta=60.00 gamma=60.00
Element x y z (fractional)
Ru 0.7500 0.7500 0.7500
Ce 0.5000 0.5000 0.5000
Mg 0.2500 0.2500 0.2500
Gd 0.0000 0.0000 0.0000

Computed properties:
Space group: F-43m, No. 216
E_form, kJ per mole of atoms: -10
Calculated density, g/cm3: 7.6

***

[6]
This record from Alexandria via LeMat-Bulk describes a relaxed structure of CeSmGdMg. The functional is PBE.

Unit cell a=5.5441 b=5.5441 c=5.5441 alpha=60.00 beta=60.00 gamma=60.00
Element x y z (fractional)
Gd 0.2500 0.2500 0.2500
Ce 0.5000 0.5000 0.5000
Mg 0.0000 0.0000 0.0000
Sm 0.7500 0.7500 0.7500

Computed properties:
Space group: F-43m, No. 216
E_form, kJ per mole of atoms: 13
Calculated density, g/cm3: 6.5

***

[7]
This record from Alexandria via LeMat-Bulk describes a relaxed structure of CeGdMgTl. The functional is PBE.

Unit cell a=5.4443 b=5.4443 c=5.4443 alpha=60.00 beta=60.00 gamma=60.00
Element x y z (fractional)
Ce 0.7500 0.7500 0.7500
Mg 0.5000 0.5000 0.5000
Gd 0.2500 0.2500 0.2500
Tl 0.0000 0.0000 0.0000

Computed properties:
Space group: F-43m, No. 216
E_form, kJ per mole of atoms: -16
Calculated density, g/cm3: 7.7

***

[8]
This record from Alexandria via LeMat-Bulk describes a relaxed structure of CeGdMgZr. The functional is PBE.

Unit cell a=5.3282 b=5.3282 c=5.3282 alpha=60.00 beta=60.00 gamma=60.00
Element x y z (fractional)
Zr 0.7500 0.7500 0.7500
Mg 0.2500 0.2500 0.2500
Gd 0.0000 0.0000 0.0000
Ce 0.5000 0.5000 0.5000

Computed properties:
Space group: F-43m, No. 216
E_form, kJ per mole of atoms: 13
Calculated density, g/cm3: 6.4

***

[9]
This record from Alexandria via LeMat-Bulk describes a relaxed structure of Ce3GdMn. The functional is PBE.

Unit cell a=5.1666 b=5.1666 c=5.1666 alpha=90.00 beta=90.00 gamma=90.00
Element x y z (fractional)
Ce 0.0000 0.5000 0.0000
Ce 0.0000 0.0000 0.5000
Ce 0.5000 0.0000 0.0000
Gd 0.5000 0.5000 0.5000
Mn 0.0000 0.0000 0.0000

Computed properties:
Space group: Pm-3m, No. 221
E_form, kJ per mole of atoms: 15
Calculated density, g/cm3: 7.6

***

[10]
This record from Alexandria via LeMat-Bulk describes a relaxed structure of CeGd2Mn. The functional is PBE.

Unit cell a=3.3149 b=3.3149 c=11.2532 alpha=81.53 beta=81.53 gamma=60.00
Element x y z (fractional)
Mn 0.0000 0.0000 0.0000
Gd 0.4020 0.4020 0.7939
Gd 0.5980 0.5980 0.2061
Ce 0.5000 0.5000 0.5000

Computed properties:
Space group: R-3m, No. 166
E_form, kJ per mole of atoms: 34
Calculated density, g/cm3: 8.0
Relative energy among the computed polymorphs, meV per atom: 200.4

***

[11]
This record from Alexandria via LeMat-Bulk describes a relaxed structure of CeGd2Mn. The functional is PBE.

Unit cell a=3.4379 b=3.4379 c=8.9990 alpha=90.00 beta=90.00 gamma=90.00
Element x y z (fractional)
Gd 0.0000 0.0000 0.2028
Gd 0.0000 0.0000 0.7972
Mn 0.5000 0.5000 0.0000
Ce 0.5000 0.5000 0.5000

Computed properties:
Space group: P4/mmm, No. 123
E_form, kJ per mole of atoms: 15
Calculated density, g/cm3: 8.0
Relative energy among the computed polymorphs, meV per atom: 0.0

***

[12]
This record from Alexandria via LeMat-Bulk describes a relaxed structure of Ce2GdMn. The functional is PBE.

Unit cell a=3.6839 b=3.6839 c=9.1403 alpha=78.37 beta=78.37 gamma=60.00
Element x y z (fractional)
Ce 0.7239 0.7239 0.8283
Ce 0.2761 0.2761 0.1717
Mn 0.0000 0.0000 0.0000
Gd 0.5000 0.5000 0.5000

Computed properties:
Space group: R-3m, No. 166
E_form, kJ per mole of atoms: 24
Calculated density, g/cm3: 7.8

***

[13]
This record from Alexandria via LeMat-Bulk describes a relaxed structure of CeGdMnOs. The functional is PBE.

Unit cell a=4.9125 b=4.9125 c=4.9125 alpha=60.00 beta=60.00 gamma=60.00
Element x y z (fractional)
Mn 0.0000 0.0000 0.0000
Ce 0.7500 0.7500 0.7500
Gd 0.2500 0.2500 0.2500
Os 0.5000 0.5000 0.5000

Computed properties:
Space group: F-43m, No. 216
E_form, kJ per mole of atoms: 4
Calculated density, g/cm3: 10.7

***

[14]
This record from Alexandria via LeMat-Bulk describes a relaxed structure of CeGdMnRh. The functional is PBE.

Unit cell a=4.9206 b=4.9206 c=4.9206 alpha=60.00 beta=60.00 gamma=60.00
Element x y z (fractional)
Mn 0.5000 0.5000 0.5000
Ce 0.2500 0.2500 0.2500
Gd 0.7500 0.7500 0.7500
Rh 0.0000 0.0000 0.0000

Computed properties:
Space group: F-43m, No. 216
E_form, kJ per mole of atoms: -21
Calculated density, g/cm3: 9.0

***

[15]
This record from Alexandria via LeMat-Bulk describes a relaxed structure of CeGdMnRu. The functional is PBE.

Unit cell a=4.9146 b=4.9146 c=4.9146 alpha=60.00 beta=60.00 gamma=60.00
Element x y z (fractional)
Ce 0.5000 0.5000 0.5000
Gd 0.0000 0.0000 0.0000
Ru 0.7500 0.7500 0.7500
Mn 0.2500 0.2500 0.2500

Computed properties:
Space group: F-43m, No. 216
E_form, kJ per mole of atoms: -1
Calculated density, g/cm3: 9.0

***

[16]
This record from Alexandria via LeMat-Bulk describes a relaxed structure of CeGdMnTc. The functional is PBE.

Unit cell a=4.9389 b=4.9389 c=4.9389 alpha=60.00 beta=60.00 gamma=60.00
Element x y z (fractional)
Mn 0.2500 0.2500 0.2500
Tc 0.7500 0.7500 0.7500
Gd 0.0000 0.0000 0.0000
Ce 0.5000 0.5000 0.5000

Computed properties:
Space group: F-43m, No. 216
E_form, kJ per mole of atoms: 17
Calculated density, g/cm3: 8.8